Entry 1:
Compound: Pr2Ga4Pd3Ru
Source: the Alexandria database
Functional: PBE
Structure: relaxed

## Properties
Formation enthalpy at 0 K (kJ per mole of atoms): -70.0
Theoretical density (kg/m3): 8399
Final energy (eV/atom): -5.378
Space group: P-4m2

a = 4.374 Å, b = 4.374 Å, c = 10.139 Å
α = 90.00°, β = 90.00°, γ = 90.00°
Fractional coordinates of all 10 atoms:
Pr1 0.000 0.500 0.241
Pr2 0.500 0.000 0.759
Ga1 0.000 0.000 0.500
Ga2 0.000 0.500 0.877
Ga3 0.500 0.000 0.123
Ga4 0.500 0.500 0.500
Pd1 0.000 0.000 0.000
Pd2 0.000 0.500 0.629
Pd3 0.500 0.000 0.371
Ru1 0.500 0.500 0.000

***

Entry 2:
Compound: Pr2ScGaPd6
Source: the Alexandria database
Functional: PBE
Structure: relaxed

## Properties
Formation enthalpy at 0 K (kJ per mole of atoms): -56.6
Theoretical density (kg/m3): 7492
Final energy (eV/atom): -5.594
Space group: R-3m

a = 8.700 Å, b = 8.700 Å, c = 8.700 Å
α = 38.52°, β = 38.52°, γ = 38.52°
Fractional coordinates of all 10 atoms:
Pr1 0.209 0.209 0.209
Pr2 0.791 0.791 0.791
Sc1 0.000 0.000 0.000
Ga1 0.500 0.500 0.500
Pd1 0.243 0.746 0.746
Pd2 0.254 0.254 0.757
Pd3 0.254 0.757 0.254
Pd4 0.746 0.243 0.746
Pd5 0.746 0.746 0.243
Pd6 0.757 0.254 0.254

***

Entry 3:
Compound: Pr2ScGa3Pd4
Source: the Alexandria database
Functional: PBE
Structure: relaxed

## Properties
Formation enthalpy at 0 K (kJ per mole of atoms): -78.2
Theoretical density (kg/m3): 7892
Final energy (eV/atom): -5.385
Space group: P-4m2

a = 4.236 Å, b = 4.236 Å, c = 11.276 Å
α = 90.00°, β = 90.00°, γ = 90.00°
Fractional coordinates of all 10 atoms:
Pr1 0.000 0.500 0.236
Pr2 0.500 0.000 0.764
Sc1 0.000 0.000 0.500
Ga1 0.000 0.500 0.874
Ga2 0.500 0.000 0.126
Ga3 0.500 0.500 0.500
Pd1 0.000 0.000 0.000
Pd2 0.000 0.500 0.648
Pd3 0.500 0.000 0.352
Pd4 0.500 0.500 0.000

***

Entry 4:
Compound: Pr2GaSiPd6
Source: the Alexandria database
Functional: PBE
Structure: relaxed

## Properties
Energy relative to the elements, uncorrected (eV/atom): -0.7514
Theoretical density (kg/m3): 8431
Final energy (eV/atom): -5.668
Space group: Pmmn

a = 5.607 Å, b = 8.774 Å, c = 8.153 Å
α = 90.00°, β = 90.00°, γ = 90.00°
Fractional coordinates of all 20 atoms:
Pr1 0.250 0.005 0.231
Pr2 0.250 0.495 0.231
Pr3 0.750 0.505 0.769
Pr4 0.750 0.995 0.769
Ga1 0.250 0.750 0.769
Ga2 0.750 0.250 0.231
Si1 0.250 0.250 0.742
Si2 0.750 0.750 0.258
Pd1 0.000 0.250 0.977
Pd2 0.000 0.750 0.023
Pd3 0.002 0.750 0.503
Pd4 0.250 0.001 0.612
Pd5 0.250 0.499 0.612
Pd6 0.498 0.750 0.503
Pd7 0.500 0.250 0.977
Pd8 0.500 0.750 0.023
Pd9 0.502 0.250 0.497
Pd10 0.750 0.501 0.388
Pd11 0.750 0.999 0.388
Pd12 0.998 0.250 0.497

***

Entry 5:
Compound: Pr3GaSi2Pd9
Source: the Alexandria database
Functional: PBE
Structure: relaxed

## Properties
Energy relative to the elements, uncorrected (eV/atom): -0.6473
Theoretical density (kg/m3): 8038
Final energy (eV/atom): -5.644
Space group: P-3m1

a = 6.363 Å, b = 6.363 Å, c = 8.876 Å
α = 90.00°, β = 90.00°, γ = 120.00°
Fractional coordinates of all 15 atoms:
Pr1 0.000 0.000 0.000
Pr2 0.333 0.667 0.673
Pr3 0.667 0.333 0.327
Ga1 0.000 0.000 0.500
Si1 0.333 0.667 0.175
Si2 0.667 0.333 0.825
Pd1 0.000 0.500 0.000
Pd2 0.147 0.294 0.287
Pd3 0.147 0.853 0.287
Pd4 0.294 0.147 0.713
Pd5 0.500 0.000 0.000
Pd6 0.500 0.500 0.000
Pd7 0.706 0.853 0.287
Pd8 0.853 0.147 0.713
Pd9 0.853 0.706 0.713

***

Entry 6:
Compound: Pr2GaSi4Pd3
Source: the Alexandria database
Functional: PBE
Structure: relaxed

## Properties
Energy relative to the elements, uncorrected (eV/atom): -0.8088
Theoretical density (kg/m3): 7098
Final energy (eV/atom): -5.794
Space group: P-4m2

a = 4.245 Å, b = 4.245 Å, c = 10.166 Å
α = 90.00°, β = 90.00°, γ = 90.00°
Fractional coordinates of all 10 atoms:
Pr1 0.000 0.500 0.244
Pr2 0.500 0.000 0.756
Ga1 0.000 0.000 0.500
Si1 0.000 0.000 0.000
Si2 0.000 0.500 0.641
Si3 0.500 0.000 0.359
Si4 0.500 0.500 0.000
Pd1 0.000 0.500 0.880
Pd2 0.500 0.000 0.120
Pd3 0.500 0.500 0.500

***

Which value of theoretical density does entry 4 give? 8431 kg/m3

***

What is the final energy in the sixth record? -5.794 eV/atom